# NaAs3I

An optimized crystal structure of NaAs3I (GGA-PBE, Alexandria).

Cell and atoms, written as POSCAR:
```
NaAs3I
1.0
5.470 0.000 0.000
0.000 5.470 0.000
0.000 0.000 5.470
Na As I
1 3 1
Direct
0.000 0.000 0.000
0.000 0.500 0.500
0.500 0.000 0.500
0.500 0.500 0.000
0.500 0.500 0.500
```

Results
**Symmetry**: No. 221
**Total energy**: -2.4772 eV/atom
**Polymorph energy (0 for the lowest one)**: 0.0 kJ/mol of atoms
**Formation energy from raw total energies**: 4.4 eV/f.u.

=====

# Pt2SeBr

An optimized crystal structure of Pt2SeBr (GGA-PBE, Alexandria).

Cell and atoms, written as POSCAR:
```
Pt2SeBr
1.0
3.343 -1.930 0.000
3.343 1.930 0.000
-2.197 0.000 7.077
Pt Se Br
2 1 1
Direct
0.000 0.000 0.000
0.734 0.734 0.203
0.449 0.449 0.351
0.269 0.269 0.803
```

Results
**Symmetry**: No. 8
**Total energy**: -4.5207 eV/atom
**Polymorph energy (0 for the lowest one)**: 0.0 kJ/mol of atoms
**Formation energy from raw total energies**: -0.8 eV/f.u.